A geometry-optimized ZnCrPd2 structure. Source: the Alexandria database, functional PBE.

Its density of states at the Fermi level is 1.9 states/eV/cell. Its total energy is -5.55 eV/atom. For the volume, the calculation gives 14.83 Å³ per atom.

The structure belongs to space group P4/mmm (No. 123); the cell edges are 4.1670, 4.1670 and 3.4161 Å and the angles 90.00°, 90.00° and 90.00°. Symmetry generates all atoms from Zn at (0.0000, 0.0000, 0.0000), Cr at (0.5000, 0.5000, 0.0000) and Pd at (0.0000, 0.5000, 0.5000).